Crystalline BaNbPt2 at its relaxed geometry, computed with PBE-GGA.

abc: 4.982 4.982 4.982
angles: 60.00 60.00 60.00
Sites, in units of the cell vectors:
Ba  0.000  0.000  0.000
Nb  0.500  0.500  0.500
Pt  0.250  0.250  0.250
Pt  0.750  0.750  0.750

Results
**Space-group type**: Fm-3m
**Spin magnetization**: 0.01 μB per formula unit
**ΔE_f**: 0.16 eV/atom
**Energy above the lowest structure with this stoichiometry**: 220 meV/atom
**Electronic total energy**: -5.862 eV/atom

***

Crystalline LiB2 at its relaxed geometry, computed with PBE-GGA.

abc: 4.469 4.469 4.469
angles: 146.53 146.53 48.06
Sites, in units of the cell vectors:
Li  0.000  0.000  0.000
B  0.271  0.271  0.000
B  0.729  0.729  0.000

Results
**Space-group type**: I4/mmm
**Spin magnetization**: 0.00 μB per formula unit
**ΔE_f**: 0.76 eV/atom
**Energy above the lowest structure with this stoichiometry**: 864 meV/atom
**Electronic total energy**: -4.332 eV/atom

***

Crystalline AlCdP at its relaxed geometry, computed with PBE-GGA.

abc: 6.037 6.037 6.037
angles: 151.44 146.85 44.32
Sites, in units of the cell vectors:
Al  0.000  0.000  0.000
Cd  0.697  0.697  0.000
P  0.400  0.400  0.000

Results
**Space-group type**: Imm2
**Spin magnetization**: 0.00 μB per formula unit
**ΔE_f**: 0.15 eV/atom
**Energy above the lowest structure with this stoichiometry**: 145 meV/atom
**Electronic total energy**: -3.202 eV/atom